DFT (GGA-PBE) results for a geometry-optimized AcCu2Au structure.

The structure in POSCAR format:
```
AcCu2Au
1.0
4.4156 0.0000 0.0000
0.0000 4.1832 0.0000
0.0000 -2.0916 9.4967
Ac Cu Au
2 4 2
direct
0.2500 0.8950 0.7901
0.7500 0.1050 0.2099
0.2500 0.2524 0.5049
0.7500 0.4700 0.9401
0.2500 0.5300 0.0599
0.7500 0.7476 0.4951
0.2500 0.6698 0.3395
0.7500 0.3302 0.6605
```

Excess energy over the best structure of this formula in the dataset   0.0000 eV per atom
Space-group type   Cmcm (63)
Total moment   0.00 Bohr magnetons per cell
Calculated formation energy   -343 meV per atom